No. 1
A relaxed Tl2Hg12Pb5 crystal, computed with PBE.

Lattice parameters (Å, degrees): 15.871 11.472 5.957 90.00 100.20 90.00
Space group C2/m (No. 12)
Asymmetric unit:
Tl: 0.000 0.248 0.000 (multiplicity 4)
Hg: 0.058 0.000 0.287 (multiplicity 4)
Hg: 0.101 0.250 0.587 (multiplicity 8)
Hg: 0.112 0.500 0.051 (multiplicity 4)
Hg: 0.206 0.264 0.205 (multiplicity 8)
Pb: 0.000 0.500 0.500 (multiplicity 2)
Pb: 0.157 0.000 0.832 (multiplicity 4)
Pb: 0.227 0.500 0.618 (multiplicity 4)

Results
Total magnetic moment = 0.00 μB/atom
ρ = 12.0 g/cm³
DOS at the Fermi energy = 0.417 states/eV/atom
ΔH_f (0 K) = 0.03 eV/atom



No. 2
A relaxed TlHg2Pb5 crystal, computed with PBE.

Lattice parameters (Å, degrees): 8.232 8.232 14.275 90.00 90.00 90.00
Space group I4/mcm (No. 140)
Asymmetric unit:
Tl: 0.000 0.000 0.250 (multiplicity 4)
Hg: 0.144 0.356 0.000 (multiplicity 8)
Pb: 0.000 0.000 0.000 (multiplicity 4)
Pb: 0.149 0.351 0.340 (multiplicity 16)

Results
Total magnetic moment = 0.00 μB/atom
ρ = 11.3 g/cm³
DOS at the Fermi energy = 0.331 states/eV/atom
ΔH_f (0 K) = 0.04 eV/atom